First-principles (PBEsol) data for an optimized crystal structure of TaMo, as listed in the Alexandria database.

For the density of states at the Fermi level, the calculation gives 11.3 states/eV/cell. The total energy is -24.6 eV/f.u. For the formation energy, the calculation gives -0.1334 eV per atom.

Geometry as CIF:
```
data_TaMo
_cell_length_a 3.1894
_cell_length_b 4.4728
_cell_length_c 18.2925
_cell_angle_alpha 90.00
_cell_angle_beta 90.00
_cell_angle_gamma 90.00
_space_group_name_H-M_alt 'I m m a'
_space_group_IT_number 74
_space_group_name_Hall '-I 2b 2'
loop_
_atom_site_label
_atom_site_type_symbol
_atom_site_fract_x
_atom_site_fract_y
_atom_site_fract_z
Ta1 Ta 0.0000 0.2500 0.0599
Ta2 Ta 0.0000 0.2500 0.3127
Mo1 Mo 0.0000 0.2500 0.5648
Mo2 Mo 0.0000 0.2500 0.8130
```

First-principles (PBEsol) data for an optimized crystal structure of TaTeRh, as listed in the Alexandria database.

The formation energy (no corrections) comes out at -0.0244 eV/atom. For the density of states at the Fermi level, the calculation gives 0.9 states/eV/cell. The total energy is -24.3 eV/f.u.

Geometry as CIF:
```
data_TaTeRh
_cell_length_a 3.5296
_cell_length_b 3.5296
_cell_length_c 5.6330
_cell_angle_alpha 90.00
_cell_angle_beta 90.00
_cell_angle_gamma 120.00
_space_group_name_H-M_alt 'P 3 m 1'
_space_group_IT_number 156
loop_
_space_group_symop_operation_xyz
'x,y,z'
'-y,x-y,z'
'-x+y,-x,z'
'-y,-x,z'
'-x+y,y,z'
'x,x-y,z'
loop_
_atom_site_label
_atom_site_type_symbol
_atom_site_fract_x
_atom_site_fract_y
_atom_site_fract_z
Ta1 Ta 0.0000 0.0000 0.0000
Te1 Te 0.3333 0.6667 0.6353
Rh1 Rh 0.6667 0.3333 0.2566
```

First-principles (PBEsol) data for an optimized crystal structure of FeCu2Pt, as listed in the Alexandria database.

For the density of states at the Fermi level, the calculation gives 2.4 states/eV/cell. The total energy is -24.7 eV/f.u. For the formation energy, the calculation gives -0.0254 eV per atom.

Geometry as CIF:
```
data_FeCu2Pt
_cell_length_a 2.6639
_cell_length_b 2.6639
_cell_length_c 6.9546
_cell_angle_alpha 90.00
_cell_angle_beta 90.00
_cell_angle_gamma 90.00
_space_group_name_H-M_alt 'P 4 m m'
_space_group_IT_number 99
loop_
_space_group_symop_operation_xyz
'x,y,z'
'-y,x,z'
'-x,-y,z'
'y,-x,z'
'-x,y,z'
'y,x,z'
'x,-y,z'
'-y,-x,z'
loop_
_atom_site_label
_atom_site_type_symbol
_atom_site_fract_x
_atom_site_fract_y
_atom_site_fract_z
Fe1 Fe 0.0000 0.0000 0.0000
Cu1 Cu 0.0000 0.0000 0.5264
Cu2 Cu 0.5000 0.5000 0.7599
Pt1 Pt 0.5000 0.5000 0.2599
```

First-principles (PBEsol) data for an optimized crystal structure of Ba2TeCl, as listed in the Alexandria database.

The formation energy (no corrections) comes out at -1.7761 eV/atom. For the density of states at the Fermi level, the calculation gives 1.9 states/eV/cell. The value obtained for the energy above the most stable polymorph in this dataset is 32 meV/atom. The total energy is -16.9 eV/f.u.

Geometry as CIF:
```
data_Ba2TeCl
_cell_length_a 4.7353
_cell_length_b 4.7353
_cell_length_c 6.6614
_cell_angle_alpha 90.00
_cell_angle_beta 90.00
_cell_angle_gamma 90.00
_space_group_name_H-M_alt 'P 4/m m m'
_space_group_IT_number 123
_space_group_name_Hall '-P 4 2'
loop_
_atom_site_label
_atom_site_type_symbol
_atom_site_fract_x
_atom_site_fract_y
_atom_site_fract_z
Ba1 Ba 0.0000 0.0000 0.0000
Ba2 Ba 0.5000 0.5000 0.5000
Te1 Te 0.0000 0.0000 0.5000
Cl1 Cl 0.5000 0.5000 0.0000
```

First-principles (PBEsol) data for an optimized crystal structure of KBaOs2, as listed in the Alexandria database.

For the density of states at the Fermi level, the calculation gives 15.5 states/eV/cell. The value obtained for the energy above the most stable polymorph in this dataset is 276 meV/atom. The total energy is -21.3 eV/f.u. For the formation energy, the calculation gives 1.6129 eV per atom.

Geometry as CIF:
```
data_KBaOs2
_cell_length_a 2.9069
_cell_length_b 2.9069
_cell_length_c 34.1163
_cell_angle_alpha 90.00
_cell_angle_beta 90.00
_cell_angle_gamma 120.00
_space_group_name_H-M_alt 'R -3 m'
_space_group_IT_number 166
_space_group_name_Hall '-R 3 2"'
loop_
_atom_site_label
_atom_site_type_symbol
_atom_site_fract_x
_atom_site_fract_y
_atom_site_fract_z
K1 K 0.0000 0.0000 0.0000
Ba1 Ba 0.0000 0.0000 0.5000
Os1 Os 0.0000 0.0000 0.2506
```

First-principles (PBEsol) data for an optimized crystal structure of BaRe2OsSe, as listed in the Alexandria database.

The formation energy (no corrections) comes out at 1.5428 eV/atom. For the density of states at the Fermi level, the calculation gives 5.3 states/eV/cell. The total energy is -37.2 eV/f.u.

Geometry as CIF:
```
data_BaRe2OsSe
_cell_length_a 4.6912
_cell_length_b 4.6912
_cell_length_c 6.2615
_cell_angle_alpha 90.00
_cell_angle_beta 90.00
_cell_angle_gamma 90.00
_space_group_name_H-M_alt 'P 4/m m m'
_space_group_IT_number 123
_space_group_name_Hall '-P 4 2'
loop_
_atom_site_label
_atom_site_type_symbol
_atom_site_fract_x
_atom_site_fract_y
_atom_site_fract_z
Ba1 Ba 0.0000 0.0000 0.0000
Re1 Re 0.0000 0.5000 0.5000
Os1 Os 0.0000 0.0000 0.5000
Se1 Se 0.5000 0.5000 0.0000
```

First-principles (PBEsol) data for an optimized crystal structure of TlCu2MoCl, as listed in the Alexandria database.

The formation energy (no corrections) comes out at 1.4624 eV/atom. For the density of states at the Fermi level, the calculation gives 2.9 states/eV/cell. The total energy is -17.8 eV/f.u.

Geometry as CIF:
```
data_TlCu2MoCl
_cell_length_a 4.7763
_cell_length_b 4.7763
_cell_length_c 5.3423
_cell_angle_alpha 90.00
_cell_angle_beta 90.00
_cell_angle_gamma 90.00
_space_group_name_H-M_alt 'P 4/m m m'
_space_group_IT_number 123
_space_group_name_Hall '-P 4 2'
loop_
_atom_site_label
_atom_site_type_symbol
_atom_site_fract_x
_atom_site_fract_y
_atom_site_fract_z
Tl1 Tl 0.0000 0.0000 0.0000
Cu1 Cu 0.0000 0.5000 0.0000
Mo1 Mo 0.0000 0.0000 0.5000
Cl1 Cl 0.5000 0.5000 0.5000
```

First-principles (PBEsol) data for an optimized crystal structure of Cs3CrBi, as listed in the Alexandria database.

For the density of states at the Fermi level, the calculation gives 14.2 states/eV/cell. The total energy is -14.1 eV/f.u. For the formation energy, the calculation gives 0.6580 eV per atom.

Geometry as CIF:
```
data_Cs3CrBi
_cell_length_a 7.3140
_cell_length_b 7.3140
_cell_length_c 7.3140
_cell_angle_alpha 90.00
_cell_angle_beta 90.00
_cell_angle_gamma 90.00
_space_group_name_H-M_alt 'P m -3 m'
_space_group_IT_number 221
_space_group_name_Hall '-P 4 2 3'
loop_
_atom_site_label
_atom_site_type_symbol
_atom_site_fract_x
_atom_site_fract_y
_atom_site_fract_z
Cs1 Cs 0.0000 0.0000 0.5000
Cr1 Cr 0.5000 0.5000 0.5000
Bi1 Bi 0.0000 0.0000 0.0000
```

Q: Among the records above, which one has the lowest density of states at the Fermi level?
A: TaTeRh

Q: What is the density of states at the Fermi level in the second record?
A: 0.9 states/eV/cell